Record 1
DFT (GGA-PBE) results for InIrRh after structural relaxation.

Calculated values
Energy of formation from the pure elements ... -9 meV/atom
Space-group type ... I4mm
Relative energy among the computed polymorphs ... 0 meV per atom

Structure (CIF):
```
data_InIrRh
_cell_length_a 6.119
_cell_length_b 6.119
_cell_length_c 6.119
_cell_angle_alpha 152.53
_cell_angle_beta 152.53
_cell_angle_gamma 39.24
_space_group_name_H-M_alt 'P 1'
_space_group_IT_number 1
loop_
_space_group_symop_operation_xyz
'x,y,z'
loop_
_atom_site_label
_atom_site_type_symbol
_atom_site_fract_x
_atom_site_fract_y
_atom_site_fract_z
In1 In 0.999 0.999 0.000
Ir1 Ir 0.674 0.674 0.000
Rh1 Rh 0.327 0.327 0.000
```


Record 2
DFT (GGA-PBE) results for InIrRh after structural relaxation.

Calculated values
Energy of formation from the pure elements ... 238 meV/atom
Space-group type ... F-43m
Relative energy among the computed polymorphs ... 247 meV per atom

Structure (CIF):
```
data_InIrRh
_cell_length_a 4.356
_cell_length_b 4.356
_cell_length_c 4.356
_cell_angle_alpha 60.00
_cell_angle_beta 60.00
_cell_angle_gamma 60.00
_space_group_name_H-M_alt 'P 1'
_space_group_IT_number 1
loop_
_space_group_symop_operation_xyz
'x,y,z'
loop_
_atom_site_label
_atom_site_type_symbol
_atom_site_fract_x
_atom_site_fract_y
_atom_site_fract_z
In1 In 0.500 0.500 0.500
Ir1 Ir 0.250 0.250 0.250
Rh1 Rh 0.000 0.000 0.000
```


Record 3
DFT (GGA-PBE) results for In6IrRh3 after structural relaxation.

Calculated values
Energy of formation from the pure elements ... -128 meV/atom
Space-group type ... P2_1/c

Structure (CIF):
```
data_In6IrRh3
_cell_length_a 6.898
_cell_length_b 6.835
_cell_length_c 8.730
_cell_angle_alpha 90.00
_cell_angle_beta 88.84
_cell_angle_gamma 90.00
_space_group_name_H-M_alt 'P 1'
_space_group_IT_number 1
loop_
_space_group_symop_operation_xyz
'x,y,z'
loop_
_atom_site_label
_atom_site_type_symbol
_atom_site_fract_x
_atom_site_fract_y
_atom_site_fract_z
In1 In 0.651 0.151 0.932
In2 In 0.651 0.154 0.575
In3 In 0.718 0.466 0.246
In4 In 0.282 0.534 0.754
In5 In 0.349 0.846 0.425
In6 In 0.349 0.849 0.068
In7 In 0.151 0.349 0.432
In8 In 0.151 0.346 0.075
In9 In 0.218 0.034 0.746
In10 In 0.782 0.966 0.254
In11 In 0.849 0.654 0.925
In12 In 0.849 0.651 0.568
Ir1 Ir 0.500 0.500 0.500
Ir2 Ir 0.000 0.000 0.000
Rh1 Rh 0.546 0.825 0.751
Rh2 Rh 0.500 0.500 0.000
Rh3 Rh 0.454 0.175 0.249
Rh4 Rh 0.046 0.675 0.251
Rh5 Rh 0.000 0.000 0.500
Rh6 Rh 0.954 0.325 0.749
```


Record 4
DFT (GGA-PBE) results for In2IrRh after structural relaxation.

Calculated values
Energy of formation from the pure elements ... -22 meV/atom
Space-group type ... C2/m

Structure (CIF):
```
data_In2IrRh
_cell_length_a 4.610
_cell_length_b 4.610
_cell_length_c 5.381
_cell_angle_alpha 78.82
_cell_angle_beta 78.82
_cell_angle_gamma 39.43
_space_group_name_H-M_alt 'P 1'
_space_group_IT_number 1
loop_
_space_group_symop_operation_xyz
'x,y,z'
loop_
_atom_site_label
_atom_site_type_symbol
_atom_site_fract_x
_atom_site_fract_y
_atom_site_fract_z
In1 In 0.250 0.250 0.750
In2 In 0.750 0.750 0.250
Ir1 Ir 0.000 0.000 0.500
Rh1 Rh 0.500 0.500 0.000
```


Record 5
DFT (GGA-PBE) results for In2IrRh after structural relaxation.

Calculated values
Energy of formation from the pure elements ... -33 meV/atom
Space-group type ... Pmm2

Structure (CIF):
```
data_In2IrRh
_cell_length_a 3.049
_cell_length_b 4.138
_cell_length_c 5.654
_cell_angle_alpha 90.00
_cell_angle_beta 90.00
_cell_angle_gamma 90.00
_space_group_name_H-M_alt 'P 1'
_space_group_IT_number 1
loop_
_space_group_symop_operation_xyz
'x,y,z'
loop_
_atom_site_label
_atom_site_type_symbol
_atom_site_fract_x
_atom_site_fract_y
_atom_site_fract_z
In1 In 0.000 0.000 0.957
In2 In 0.500 0.500 0.292
Ir1 Ir 0.000 0.000 0.469
Rh1 Rh 0.500 0.500 0.781
```


Record 6
DFT (GGA-PBE) results for In2IrRh after structural relaxation.

Calculated values
Energy of formation from the pure elements ... -233 meV/atom
Space-group type ... P4/mmm

Structure (CIF):
```
data_In2IrRh
_cell_length_a 4.636
_cell_length_b 4.636
_cell_length_c 3.179
_cell_angle_alpha 90.00
_cell_angle_beta 90.00
_cell_angle_gamma 90.00
_space_group_name_H-M_alt 'P 1'
_space_group_IT_number 1
loop_
_space_group_symop_operation_xyz
'x,y,z'
loop_
_atom_site_label
_atom_site_type_symbol
_atom_site_fract_x
_atom_site_fract_y
_atom_site_fract_z
Ir1 Ir 0.500 0.000 0.500
Rh1 Rh 0.000 0.500 0.500
In1 In 0.000 0.000 0.000
In2 In 0.500 0.500 0.000
```


Record 7
DFT (GGA-PBE) results for In2IrRh after structural relaxation.

Calculated values
Energy of formation from the pure elements ... 93 meV/atom
Space-group type ... P4mm

Structure (CIF):
```
data_In2IrRh
_cell_length_a 2.992
_cell_length_b 2.992
_cell_length_c 8.269
_cell_angle_alpha 90.00
_cell_angle_beta 90.00
_cell_angle_gamma 90.00
_space_group_name_H-M_alt 'P 1'
_space_group_IT_number 1
loop_
_space_group_symop_operation_xyz
'x,y,z'
loop_
_atom_site_label
_atom_site_type_symbol
_atom_site_fract_x
_atom_site_fract_y
_atom_site_fract_z
In1 In 0.000 0.000 0.956
In2 In 0.500 0.500 0.292
Ir1 Ir 0.000 0.000 0.519
Rh1 Rh 0.500 0.500 0.732
```


Record 8
DFT (GGA-PBE) results for In2IrRh after structural relaxation.

Calculated values
Energy of formation from the pure elements ... -145 meV/atom
Space-group type ... Cm

Structure (CIF):
```
data_In2IrRh
_cell_length_a 5.272
_cell_length_b 5.272
_cell_length_c 4.696
_cell_angle_alpha 74.23
_cell_angle_beta 74.23
_cell_angle_gamma 33.90
_space_group_name_H-M_alt 'P 1'
_space_group_IT_number 1
loop_
_space_group_symop_operation_xyz
'x,y,z'
loop_
_atom_site_label
_atom_site_type_symbol
_atom_site_fract_x
_atom_site_fract_y
_atom_site_fract_z
In1 In 0.988 0.988 0.073
In2 In 0.762 0.762 0.677
Ir1 Ir 0.506 0.506 0.567
Rh1 Rh 0.244 0.244 0.182
```


- Which value of energy of formation from the pure elements does entry 6 give?
  -233 meV/atom


- Among the records above, which one has the highest energy of formation from the pure elements?
  number 2


- The lowest energy of formation from the pure elements belongs to which entry?
  number 6